# CeHo7Tm12

An optimized crystal structure of CeHo7Tm12 (PBE, the Alexandria database).

Fermi-level density of states (states/eV/cell): 40.2
Electronic total energy (eV per atom): -4.3238
Calculated formation energy (eV per atom): 0.258
Energy relative to the lowest polymorph listed for this composition (meV per atom): 0.0
Magnetic moment (μB/cell): 0.0

abc: 8.561 8.561 8.561
angles: 90.31 90.31 90.31
Sites, in units of the cell vectors:
Ce  0.000  0.000  0.000
Ho  0.969  0.672  0.065
Ho  0.328  0.935  0.031
Ho  0.935  0.031  0.328
Ho  0.500  0.500  0.500
Ho  0.065  0.969  0.672
Ho  0.672  0.065  0.969
Ho  0.031  0.328  0.935
Tm  0.773  0.232  0.626
Tm  0.768  0.374  0.227
Tm  0.459  0.126  0.349
Tm  0.874  0.651  0.541
Tm  0.374  0.227  0.768
Tm  0.651  0.541  0.874
Tm  0.349  0.459  0.126
Tm  0.626  0.773  0.232
Tm  0.126  0.349  0.459
Tm  0.541  0.874  0.651
Tm  0.232  0.626  0.773
Tm  0.227  0.768  0.374

***

# Pm2Pr2Cd

An optimized crystal structure of Pm2Pr2Cd (PBE, the Alexandria database).

Fermi-level density of states (states/eV/cell): 7.0
Electronic total energy (eV per atom): -4.1132
Calculated formation energy (eV per atom): -0.118
Energy relative to the lowest polymorph listed for this composition (meV per atom): 0.0
Magnetic moment (μB/cell): 0.0

abc: 3.729 3.729 12.038
angles: 98.91 98.91 90.00
Sites, in units of the cell vectors:
Pm  0.586  0.586  0.172
Pm  0.414  0.414  0.828
Pr  0.806  0.806  0.611
Pr  0.194  0.194  0.389
Cd  0.000  0.000  0.000

***

# Y2Cd2Au

An optimized crystal structure of Y2Cd2Au (PBE, the Alexandria database).

Fermi-level density of states (states/eV/cell): 13.3
Electronic total energy (eV per atom): -3.9496
Calculated formation energy (eV per atom): -0.342
Energy relative to the lowest polymorph listed for this composition (meV per atom): 77.9
Magnetic moment (μB/cell): 0.0

abc: 7.460 7.460 4.502
angles: 90.00 90.00 90.00
Sites, in units of the cell vectors:
Y  0.170  0.670  0.500
Y  0.670  0.830  0.500
Y  0.830  0.330  0.500
Y  0.330  0.170  0.500
Au  0.000  0.000  0.000
Au  0.500  0.500  0.000
Cd  0.366  0.866  0.000
Cd  0.866  0.634  0.000
Cd  0.634  0.134  0.000
Cd  0.134  0.366  0.000

***

# NaLa2Tb

An optimized crystal structure of NaLa2Tb (PBE, the Alexandria database).

Fermi-level density of states (states/eV/cell): 5.3
Electronic total energy (eV per atom): -3.8306
Calculated formation energy (eV per atom): 0.120
Energy relative to the lowest polymorph listed for this composition (meV per atom): 50.1
Magnetic moment (μB/cell): 0.0

abc: 3.608 3.608 13.251
angles: 82.18 82.18 60.00
Sites, in units of the cell vectors:
Na  0.000  0.000  0.000
Tb  0.500  0.500  0.500
La  0.092  0.092  0.723
La  0.908  0.908  0.277

***

# VHRh

An optimized crystal structure of VHRh (PBE, the Alexandria database).

Fermi-level density of states (states/eV/cell): 2.6
Electronic total energy (eV per atom): -6.5250
Energy relative to the lowest polymorph listed for this composition (meV per atom): 388.8
Magnetic moment (μB/cell): 0.0

abc: 2.716 3.736 3.736
angles: 120.00 90.00 90.00
Sites, in units of the cell vectors:
H  0.219  0.667  0.333
Rh  0.157  0.000  0.000
V  0.624  0.333  0.667

***

# Sr2CaCu

An optimized crystal structure of Sr2CaCu (PBE, the Alexandria database).

Fermi-level density of states (states/eV/cell): 7.7
Electronic total energy (eV per atom): -2.3900
Calculated formation energy (eV per atom): -0.025
Energy relative to the lowest polymorph listed for this composition (meV per atom): 0.0
Magnetic moment (μB/cell): 0.0

abc: 4.126 7.267 10.584
angles: 90.00 90.00 106.47
Sites, in units of the cell vectors:
Sr  0.360  0.720  0.568
Sr  0.640  0.280  0.432
Sr  0.360  0.720  0.932
Sr  0.640  0.280  0.068
Ca  0.912  0.824  0.250
Ca  0.088  0.176  0.750
Cu  0.743  0.486  0.750
Cu  0.257  0.514  0.250

***

# Ca2Hg6Pb3

An optimized crystal structure of Ca2Hg6Pb3 (PBE, the Alexandria database).

Fermi-level density of states (states/eV/cell): 9.0
Electronic total energy (eV per atom): -1.6498
Calculated formation energy (eV per atom): -0.110
Magnetic moment (μB/cell): 0.0

abc: 4.684 4.684 15.639
angles: 98.61 98.61 90.00
Sites, in units of the cell vectors:
Ca  0.354  0.354  0.707
Ca  0.646  0.646  0.293
Hg  0.071  0.571  0.142
Hg  0.571  0.071  0.142
Hg  0.929  0.429  0.858
Hg  0.429  0.929  0.858
Hg  0.749  0.749  0.498
Hg  0.251  0.251  0.502
Pb  0.000  0.000  0.000
Pb  0.852  0.852  0.703
Pb  0.148  0.148  0.297

***

# Sm5Cd2Pt2

An optimized crystal structure of Sm5Cd2Pt2 (PBE, the Alexandria database).

Fermi-level density of states (states/eV/cell): 16.5
Electronic total energy (eV per atom): -4.8094
Calculated formation energy (eV per atom): -0.642
Magnetic moment (μB/cell): 0.0

abc: 7.948 7.775 8.981
angles: 115.65 90.00 90.00
Sites, in units of the cell vectors:
Sm  0.000  0.000  0.000
Sm  0.500  0.500  0.000
Sm  0.827  0.793  0.240
Sm  0.173  0.447  0.240
Sm  0.327  0.947  0.240
Sm  0.673  0.293  0.240
Sm  0.173  0.207  0.760
Sm  0.827  0.553  0.760
Sm  0.673  0.053  0.760
Sm  0.327  0.707  0.760
Cd  0.000  0.216  0.432
Cd  0.500  0.716  0.432
Cd  0.000  0.784  0.568
Cd  0.500  0.284  0.568
Pt  0.630  0.871  0.000
Pt  0.370  0.129  0.000
Pt  0.130  0.629  0.000
Pt  0.870  0.371  0.000

***

# KTl2Si

An optimized crystal structure of KTl2Si (PBE, the Alexandria database).

Fermi-level density of states (states/eV/cell): 2.5
Electronic total energy (eV per atom): -2.5664
ΔE_f (raw) (meV/atom): 247
Energy relative to the lowest polymorph listed for this composition (meV per atom): 128.9
Magnetic moment (μB/cell): 0.0

abc: 6.122 6.122 6.122
angles: 137.34 124.69 72.28
Sites, in units of the cell vectors:
K  0.475  0.475  0.000
Si  0.203  0.703  0.500
Tl  0.048  0.048  0.000
Tl  0.774  0.274  0.500

***

# PuIn2Se6

An optimized crystal structure of PuIn2Se6 (PBE, the Alexandria database).

Fermi-level density of states (states/eV/cell): 18.2
Electronic total energy (eV per atom): -5.0676
ΔE_f (raw) (meV/atom): -544
Magnetic moment (μB/cell): 8.0

abc: 7.577 8.436 8.436
angles: 87.56 90.00 90.00
Site moments in Bohr magnetons follow the coordinates.
Sites, in units of the cell vectors:
Pu  0.250  0.095  0.905  4.71
Pu  0.750  0.905  0.095  4.71
In  0.092  0.575  0.747  0.01
In  0.408  0.253  0.425  0.01
In  0.908  0.425  0.253  0.01
In  0.592  0.747  0.575  0.01
Se  0.245  0.722  0.482  0.00
Se  0.255  0.518  0.278  0.00
Se  0.755  0.278  0.518  0.00
Se  0.745  0.482  0.722  0.00
Se  0.840  0.887  0.415  -0.14
Se  0.660  0.585  0.113  -0.14
Se  0.160  0.113  0.585  -0.14
Se  0.340  0.415  0.887  -0.14
Se  0.063  0.807  0.945  -0.14
Se  0.437  0.055  0.193  -0.14
Se  0.937  0.193  0.055  -0.14
Se  0.563  0.945  0.807  -0.14

***

# Cu3HgIr

An optimized crystal structure of Cu3HgIr (PBE, the Alexandria database).

Fermi-level density of states (states/eV/cell): 5.6
Electronic total energy (eV per atom): -3.3086
Calculated formation energy (eV per atom): 0.982
Energy relative to the lowest polymorph listed for this composition (meV per atom): 0.0
Magnetic moment (μB/cell): 0.0

abc: 4.692 4.692 4.692
angles: 90.00 90.00 90.00
Sites, in units of the cell vectors:
Ir  0.000  0.000  0.000
Hg  0.500  0.500  0.500
Cu  0.000  0.500  0.000
Cu  0.000  0.000  0.500
Cu  0.500  0.000  0.000

***

# La2HgAu3

An optimized crystal structure of La2HgAu3 (PBE, the Alexandria database).

Fermi-level density of states (states/eV/cell): 2.9
Electronic total energy (eV per atom): -4.0095
Calculated formation energy (eV per atom): -0.678
Energy relative to the lowest polymorph listed for this composition (meV per atom): 50.4
Magnetic moment (μB/cell): 0.0

abc: 4.178 4.113 9.761
angles: 102.16 102.36 90.00
Sites, in units of the cell vectors:
La  0.129  0.129  0.259
La  0.860  0.360  0.719
Hg  0.454  0.954  0.908
Au  0.703  0.703  0.406
Au  0.555  0.555  0.109
Au  0.299  0.799  0.599

***

Copy entry 8 word for word.
# Sm5Cd2Pt2

An optimized crystal structure of Sm5Cd2Pt2 (PBE, the Alexandria database).

Fermi-level density of states (states/eV/cell): 16.5
Electronic total energy (eV per atom): -4.8094
Calculated formation energy (eV per atom): -0.642
Magnetic moment (μB/cell): 0.0

abc: 7.948 7.775 8.981
angles: 115.65 90.00 90.00
Sites, in units of the cell vectors:
Sm  0.000  0.000  0.000
Sm  0.500  0.500  0.000
Sm  0.827  0.793  0.240
Sm  0.173  0.447  0.240
Sm  0.327  0.947  0.240
Sm  0.673  0.293  0.240
Sm  0.173  0.207  0.760
Sm  0.827  0.553  0.760
Sm  0.673  0.053  0.760
Sm  0.327  0.707  0.760
Cd  0.000  0.216  0.432
Cd  0.500  0.716  0.432
Cd  0.000  0.784  0.568
Cd  0.500  0.284  0.568
Pt  0.630  0.871  0.000
Pt  0.370  0.129  0.000
Pt  0.130  0.629  0.000
Pt  0.870  0.371  0.000